[1]
Entry from OQMD via LeMat-Bulk: a geometry-optimized PrErTa structure (PBE-GGA).

a = 5.061 Å, b = 5.061 Å, c = 5.061 Å
α = 60.00°, β = 60.00°, γ = 60.00°
Fractional positions:
Pr: 0.000 0.000 0.000
Er: 0.250 0.250 0.250
Ta: 0.500 0.500 0.500

Results
- Symmetry: F-43m
- Calculated formation energy: 1.282 eV/atom
- Energy above the lowest structure with this stoichiometry: 249 kJ/mol of formula units

***

[2]
Entry from OQMD via LeMat-Bulk: a geometry-optimized LaGdIn5 structure (PBE-GGA).

a = 4.851 Å, b = 4.851 Å, c = 8.533 Å
α = 90.00°, β = 90.00°, γ = 90.00°
Fractional positions:
La: 0.000 0.000 0.000
Gd: 0.000 0.000 0.500
In: 0.000 0.500 0.269
In: 0.000 0.500 0.731
In: 0.500 0.000 0.269
In: 0.500 0.000 0.731
In: 0.500 0.500 0.000

Results
- Symmetry: P4/mmm
- E: -3.658 eV per atom

***

[3]
Entry from OQMD via LeMat-Bulk: a geometry-optimized TmSbN2O structure (PBE-GGA).

a = 5.646 Å, b = 8.056 Å, c = 5.423 Å
α = 90.00°, β = 90.00°, γ = 90.00°
Fractional positions:
Tm: 0.065 0.250 0.028
Tm: 0.435 0.750 0.528
Tm: 0.565 0.250 0.472
Tm: 0.935 0.750 0.972
Sb: 0.000 0.000 0.500
Sb: 0.000 0.500 0.500
Sb: 0.500 0.000 0.000
Sb: 0.500 0.500 0.000
N: 0.198 0.566 0.805
N: 0.198 0.934 0.805
N: 0.302 0.066 0.305
N: 0.302 0.434 0.305
N: 0.698 0.566 0.695
N: 0.698 0.934 0.695
N: 0.802 0.066 0.195
N: 0.802 0.434 0.195
O: 0.047 0.750 0.370
O: 0.453 0.250 0.870
O: 0.547 0.750 0.130
O: 0.953 0.250 0.630

Results
- Symmetry: Pnma
- E: -7.049 eV per atom

***

no.,calculated volume (Å³/cell)
1,91.7
2,200.8
3,246.6